Record 1
VASP calculation (GGA-PBE) on SmDy7Sc2 after structural relaxation.

Lattice parameters (Å, degrees): 8.735 8.735 5.565 90.00 90.00 119.56
Positions (direct):
Sm (0.000, 0.000, 0.000)
Dy (0.060, 0.302, 0.500)
Dy (0.242, 0.758, 0.000)
Dy (0.302, 0.060, 0.500)
Dy (0.500, 0.500, 0.500)
Dy (0.698, 0.940, 0.500)
Dy (0.758, 0.242, 0.000)
Dy (0.940, 0.698, 0.500)
Sc (0.296, 0.704, 0.500)
Sc (0.704, 0.296, 0.500)

Properties
Magnetization = 0.000 μB/f.u.
Total energy = -43.04 eV/cell
Calculated formation energy = 63.3 kJ/mol of atoms
Crystal system = orthorhombic



Record 2
VASP calculation (GGA-PBE) on Sm5Dy4Sc4 after structural relaxation.

Lattice parameters (Å, degrees): 9.232 9.232 9.232 94.09 94.09 149.03
Positions (direct):
Sm (0.000, 0.000, 0.000)
Sm (0.306, 0.457, 0.764)
Sm (0.457, 0.694, 0.151)
Sm (0.543, 0.306, 0.849)
Sm (0.694, 0.543, 0.236)
Dy (0.078, 0.617, 0.695)
Dy (0.383, 0.078, 0.461)
Dy (0.617, 0.922, 0.539)
Dy (0.922, 0.383, 0.305)
Sc (0.156, 0.233, 0.389)
Sc (0.233, 0.844, 0.077)
Sc (0.767, 0.156, 0.923)
Sc (0.844, 0.767, 0.611)

Properties
Magnetization = 0.001 μB/f.u.
Total energy = -66.73 eV/cell
Calculated formation energy = 4.5 kJ/mol of atoms
Crystal system = tetragonal



Record 3
VASP calculation (GGA-PBE) on Sm2Dy4Sc after structural relaxation.

Lattice parameters (Å, degrees): 19.977 19.977 19.977 10.22 10.22 10.22
Positions (direct):
Sm (0.192, 0.192, 0.192)
Sm (0.808, 0.808, 0.808)
Dy (0.093, 0.093, 0.093)
Dy (0.378, 0.378, 0.378)
Dy (0.622, 0.622, 0.622)
Dy (0.907, 0.907, 0.907)
Sc (0.000, 0.000, 0.000)

Properties
Magnetization = 0.000 μB/f.u.
Total energy = -33.99 eV/cell
Calculated formation energy = 2.6 kJ/mol of atoms
Crystal system = trigonal



Record 4
VASP calculation (GGA-PBE) on SmDy7Sc3 after structural relaxation.

Lattice parameters (Å, degrees): 6.960 6.960 8.246 90.00 90.00 120.00
Positions (direct):
Sm (0.000, 0.000, 0.000)
Dy (0.002, 0.501, 0.014)
Dy (0.331, 0.166, 0.657)
Dy (0.333, 0.667, 0.669)
Dy (0.499, 0.501, 0.014)
Dy (0.499, 0.998, 0.014)
Dy (0.834, 0.166, 0.657)
Dy (0.834, 0.669, 0.657)
Sc (0.167, 0.335, 0.336)
Sc (0.167, 0.833, 0.336)
Sc (0.665, 0.833, 0.336)

Properties
Magnetization = 0.001 μB/f.u.
Total energy = -53.48 eV/cell
Calculated formation energy = 21.5 kJ/mol of atoms
Crystal system = trigonal



Record 5
VASP calculation (GGA-PBE) on Sm10DySc6 after structural relaxation.

Lattice parameters (Å, degrees): 9.488 9.488 6.702 90.00 90.00 120.00
Positions (direct):
Sm (0.000, 0.283, 0.177)
Sm (0.000, 0.717, 0.823)
Sm (0.283, 0.000, 0.177)
Sm (0.283, 0.283, 0.823)
Sm (0.333, 0.667, 0.000)
Sm (0.333, 0.667, 0.500)
Sm (0.667, 0.333, 0.000)
Sm (0.667, 0.333, 0.500)
Sm (0.717, 0.000, 0.823)
Sm (0.717, 0.717, 0.177)
Dy (0.000, 0.000, 0.500)
Sc (0.000, 0.360, 0.672)
Sc (0.000, 0.640, 0.328)
Sc (0.360, 0.000, 0.672)
Sc (0.360, 0.360, 0.328)
Sc (0.640, 0.000, 0.328)
Sc (0.640, 0.640, 0.672)

Properties
Magnetization = 0.000 μB/f.u.
Total energy = -87.41 eV/cell
Calculated formation energy = 13.5 kJ/mol of atoms
Crystal system = trigonal



Record 6
VASP calculation (GGA-PBE) on Sm6Dy2Sc after structural relaxation.

Lattice parameters (Å, degrees): 6.034 6.034 15.241 100.81 100.81 33.21
Positions (direct):
Sm (0.043, 0.043, 0.225)
Sm (0.295, 0.295, 0.101)
Sm (0.374, 0.374, 0.564)
Sm (0.626, 0.626, 0.436)
Sm (0.705, 0.705, 0.899)
Sm (0.957, 0.957, 0.775)
Dy (0.335, 0.335, 0.332)
Dy (0.665, 0.665, 0.668)
Sc (0.000, 0.000, 0.000)

Properties
Magnetization = 0.000 μB/f.u.
Total energy = -42.09 eV/cell
Calculated formation energy = 18.9 kJ/mol of atoms
Crystal system = monoclinic



Record 7
VASP calculation (GGA-PBE) on SmDy6Sc4 after structural relaxation.

Lattice parameters (Å, degrees): 5.450 5.450 24.922 90.00 90.00 119.72
Positions (direct):
Sm (0.172, 0.828, 0.750)
Sm (0.828, 0.172, 0.250)
Dy (0.161, 0.839, 0.178)
Dy (0.161, 0.839, 0.322)
Dy (0.172, 0.828, 0.597)
Dy (0.172, 0.828, 0.903)
Dy (0.495, 0.505, 0.250)
Dy (0.500, 0.500, 0.000)
Dy (0.500, 0.500, 0.500)
Dy (0.505, 0.495, 0.750)
Dy (0.828, 0.172, 0.097)
Dy (0.828, 0.172, 0.403)
Dy (0.839, 0.161, 0.678)
Dy (0.839, 0.161, 0.822)
Sc (0.164, 0.836, 0.043)
Sc (0.164, 0.836, 0.457)
Sc (0.494, 0.506, 0.123)
Sc (0.494, 0.506, 0.377)
Sc (0.506, 0.494, 0.623)
Sc (0.506, 0.494, 0.877)
Sc (0.836, 0.164, 0.543)
Sc (0.836, 0.164, 0.957)

Properties
Magnetization = 0.000 μB/f.u.
Total energy = -112.85 eV/cell
Calculated formation energy = 10.8 kJ/mol of atoms
Crystal system = orthorhombic



Record 8
VASP calculation (GGA-PBE) on Sm2DySc3 after structural relaxation.

Lattice parameters (Å, degrees): 7.378 7.378 6.970 104.91 104.91 96.90
Positions (direct):
Sm (0.061, 0.592, 0.764)
Sm (0.408, 0.939, 0.736)
Sm (0.592, 0.061, 0.264)
Sm (0.939, 0.408, 0.236)
Dy (0.500, 0.500, 0.000)
Dy (0.500, 0.500, 0.500)
Sc (0.149, 0.181, 0.528)
Sc (0.181, 0.149, 0.028)
Sc (0.211, 0.789, 0.250)
Sc (0.789, 0.211, 0.750)
Sc (0.819, 0.851, 0.972)
Sc (0.851, 0.819, 0.472)

Properties
Magnetization = 0.000 μB/f.u.
Total energy = -63.56 eV/cell
Calculated formation energy = 20.2 kJ/mol of atoms
Crystal system = monoclinic



Record 9
VASP calculation (GGA-PBE) on SmDy3Sc3 after structural relaxation.

Lattice parameters (Å, degrees): 8.475 8.475 8.475 58.88 58.88 58.88
Positions (direct):
Sm (0.152, 0.152, 0.152)
Sm (0.848, 0.848, 0.848)
Dy (0.068, 0.222, 0.567)
Dy (0.222, 0.567, 0.068)
Dy (0.433, 0.932, 0.778)
Dy (0.567, 0.068, 0.222)
Dy (0.778, 0.433, 0.932)
Dy (0.932, 0.778, 0.433)
Sc (0.223, 0.437, 0.668)
Sc (0.332, 0.777, 0.563)
Sc (0.437, 0.668, 0.223)
Sc (0.563, 0.332, 0.777)
Sc (0.668, 0.223, 0.437)
Sc (0.777, 0.563, 0.332)

Properties
Magnetization = 0.000 μB/f.u.
Total energy = -72.42 eV/cell
Calculated formation energy = 18.0 kJ/mol of atoms
Crystal system = trigonal



Record 10
VASP calculation (GGA-PBE) on Sm4Dy7Sc after structural relaxation.

Lattice parameters (Å, degrees): 6.456 6.762 9.106 85.51 76.91 82.31
Positions (direct):
Sm (0.152, 0.319, 0.279)
Sm (0.335, 0.880, 0.696)
Sm (0.665, 0.120, 0.304)
Sm (0.848, 0.681, 0.721)
Dy (0.002, 0.256, 0.951)
Dy (0.178, 0.810, 0.365)
Dy (0.312, 0.391, 0.618)
Dy (0.500, 0.000, 0.000)
Dy (0.688, 0.609, 0.382)
Dy (0.822, 0.190, 0.635)
Dy (0.998, 0.744, 0.049)
Sc (0.500, 0.500, 0.000)

Properties
Magnetization = 0.000 μB/f.u.
Total energy = -56.21 eV/cell
Calculated formation energy = 9.7 kJ/mol of atoms
Crystal system = triclinic



Record 11
VASP calculation (GGA-PBE) on Sm4Dy10Sc after structural relaxation.

Lattice parameters (Å, degrees): 8.884 8.884 8.884 100.74 100.74 128.86
Positions (direct):
Sm (0.231, 0.231, 0.462)
Sm (0.231, 0.769, 0.000)
Sm (0.769, 0.231, 0.000)
Sm (0.769, 0.769, 0.538)
Dy (0.078, 0.286, 0.792)
Dy (0.250, 0.750, 0.500)
Dy (0.286, 0.078, 0.792)
Dy (0.286, 0.494, 0.208)
Dy (0.494, 0.286, 0.208)
Dy (0.506, 0.714, 0.792)
Dy (0.714, 0.506, 0.792)
Dy (0.714, 0.922, 0.208)
Dy (0.750, 0.250, 0.500)
Dy (0.922, 0.714, 0.208)
Sc (0.000, 0.000, 0.000)

Properties
Magnetization = 0.000 μB/f.u.
Total energy = -67.47 eV/cell
Calculated formation energy = 24.2 kJ/mol of atoms
Crystal system = tetragonal



Record 12
VASP calculation (GGA-PBE) on Sm10DySc4 after structural relaxation.

Lattice parameters (Å, degrees): 8.874 8.874 8.874 102.59 102.59 124.34
Positions (direct):
Sm (0.034, 0.692, 0.112)
Sm (0.079, 0.966, 0.658)
Sm (0.250, 0.750, 0.500)
Sm (0.308, 0.420, 0.342)
Sm (0.420, 0.079, 0.112)
Sm (0.580, 0.921, 0.888)
Sm (0.692, 0.580, 0.658)
Sm (0.750, 0.250, 0.500)
Sm (0.921, 0.034, 0.342)
Sm (0.966, 0.308, 0.888)
Dy (0.000, 0.000, 0.000)
Sc (0.286, 0.436, 0.721)
Sc (0.436, 0.714, 0.150)
Sc (0.564, 0.286, 0.850)
Sc (0.714, 0.564, 0.279)

Properties
Magnetization = 0.000 μB/f.u.
Total energy = -68.93 eV/cell
Calculated formation energy = 52.7 kJ/mol of atoms
Crystal system = tetragonal



Record 13
VASP calculation (GGA-PBE) on Sm12Dy3Sc after structural relaxation.

Lattice parameters (Å, degrees): 5.080 5.080 20.267 90.00 90.00 90.00
Positions (direct):
Sm (0.000, 0.000, 0.000)
Sm (0.000, 0.000, 0.247)
Sm (0.000, 0.000, 0.500)
Sm (0.000, 0.000, 0.753)
Sm (0.000, 0.500, 0.121)
Sm (0.000, 0.500, 0.374)
Sm (0.000, 0.500, 0.626)
Sm (0.000, 0.500, 0.879)
Sm (0.500, 0.000, 0.121)
Sm (0.500, 0.000, 0.374)
Sm (0.500, 0.000, 0.626)
Sm (0.500, 0.000, 0.879)
Dy (0.500, 0.500, 0.248)
Dy (0.500, 0.500, 0.500)
Dy (0.500, 0.500, 0.752)
Sc (0.500, 0.500, 0.000)

Properties
Magnetization = 0.000 μB/f.u.
Total energy = -76.40 eV/cell
Calculated formation energy = 2.2 kJ/mol of atoms
Crystal system = tetragonal



Record 14
VASP calculation (GGA-PBE) on SmDy7Sc3 after structural relaxation.

Lattice parameters (Å, degrees): 9.628 9.628 10.987 90.25 90.25 139.26
Positions (direct):
Sm (0.000, 0.000, 0.000)
Sm (0.500, 0.500, 0.500)
Dy (0.086, 0.412, 0.537)
Dy (0.090, 0.416, 0.962)
Dy (0.165, 0.348, 0.249)
Dy (0.241, 0.241, 0.749)
Dy (0.348, 0.165, 0.249)
Dy (0.412, 0.086, 0.537)
Dy (0.416, 0.090, 0.962)
Dy (0.584, 0.910, 0.038)
Dy (0.588, 0.914, 0.463)
Dy (0.652, 0.835, 0.751)
Dy (0.759, 0.759, 0.251)
Dy (0.835, 0.652, 0.751)
Dy (0.910, 0.584, 0.038)
Dy (0.914, 0.588, 0.463)
Sc (0.000, 0.000, 0.500)
Sc (0.246, 0.750, 0.750)
Sc (0.250, 0.754, 0.250)
Sc (0.500, 0.500, 0.000)
Sc (0.750, 0.246, 0.750)
Sc (0.754, 0.250, 0.250)

Properties
Magnetization = 0.000 μB/f.u.
Total energy = -108.41 eV/cell
Calculated formation energy = 15.1 kJ/mol of atoms
Crystal system = monoclinic



Record 15
VASP calculation (GGA-PBE) on Sm2Dy4Sc after structural relaxation.

Lattice parameters (Å, degrees): 6.037 6.546 11.453 90.00 104.60 90.00
Positions (direct):
Sm (0.109, 0.250, 0.001)
Sm (0.219, 0.250, 0.575)
Sm (0.781, 0.750, 0.425)
Sm (0.891, 0.750, 0.999)
Dy (0.144, 0.005, 0.287)
Dy (0.144, 0.495, 0.287)
Dy (0.350, 0.750, 0.560)
Dy (0.471, 0.750, 0.134)
Dy (0.529, 0.250, 0.866)
Dy (0.650, 0.250, 0.440)
Dy (0.856, 0.505, 0.713)
Dy (0.856, 0.995, 0.713)
Sc (0.351, 0.750, 0.838)
Sc (0.649, 0.250, 0.162)

Properties
Magnetization = 0.001 μB/f.u.
Total energy = -66.36 eV/cell
Calculated formation energy = 13.7 kJ/mol of atoms
Crystal system = monoclinic



Record 16
VASP calculation (GGA-PBE) on Sm3Dy12Sc after structural relaxation.

Lattice parameters (Å, degrees): 5.013 5.013 20.002 90.00 90.00 90.00
Positions (direct):
Sm (0.000, 0.000, 0.000)
Sm (0.000, 0.000, 0.252)
Sm (0.000, 0.000, 0.748)
Dy (0.000, 0.500, 0.127)
Dy (0.000, 0.500, 0.380)
Dy (0.000, 0.500, 0.620)
Dy (0.000, 0.500, 0.873)
Dy (0.500, 0.000, 0.127)
Dy (0.500, 0.000, 0.380)
Dy (0.500, 0.000, 0.620)
Dy (0.500, 0.000, 0.873)
Dy (0.500, 0.500, 0.000)
Dy (0.500, 0.500, 0.253)
Dy (0.500, 0.500, 0.500)
Dy (0.500, 0.500, 0.747)
Sc (0.000, 0.000, 0.500)

Properties
Magnetization = 0.001 μB/f.u.
Total energy = -75.31 eV/cell
Calculated formation energy = 2.4 kJ/mol of atoms
Crystal system = tetragonal



Record 17
VASP calculation (GGA-PBE) on Sm12Dy6Sc after structural relaxation.

Lattice parameters (Å, degrees): 9.695 9.695 9.695 110.89 110.89 110.89
Positions (direct):
Sm (0.000, 0.391, 0.609)
Sm (0.000, 0.609, 0.391)
Sm (0.247, 0.247, 0.495)
Sm (0.247, 0.495, 0.247)
Sm (0.391, 0.000, 0.609)
Sm (0.391, 0.609, 0.000)
Sm (0.495, 0.247, 0.247)
Sm (0.505, 0.753, 0.753)
Sm (0.609, 0.000, 0.391)
Sm (0.609, 0.391, 0.000)
Sm (0.753, 0.505, 0.753)
Sm (0.753, 0.753, 0.505)
Dy (0.144, 0.144, 0.761)
Dy (0.144, 0.761, 0.144)
Dy (0.239, 0.856, 0.856)
Dy (0.761, 0.144, 0.144)
Dy (0.856, 0.239, 0.856)
Dy (0.856, 0.856, 0.239)
Sc (0.500, 0.500, 0.500)

Properties
Magnetization = 0.000 μB/f.u.
Total energy = -83.12 eV/cell
Calculated formation energy = 37.8 kJ/mol of atoms
Crystal system = trigonal



Record 18
VASP calculation (GGA-PBE) on Sm6DySc2 after structural relaxation.

Lattice parameters (Å, degrees): 7.994 7.994 10.315 90.00 90.00 90.00
Positions (direct):
Sm (0.232, 0.232, 0.000)
Sm (0.242, 0.242, 0.331)
Sm (0.242, 0.242, 0.669)
Sm (0.258, 0.742, 0.169)
Sm (0.258, 0.742, 0.831)
Sm (0.268, 0.732, 0.500)
Sm (0.732, 0.268, 0.500)
Sm (0.742, 0.258, 0.169)
Sm (0.742, 0.258, 0.831)
Sm (0.758, 0.758, 0.331)
Sm (0.758, 0.758, 0.669)
Sm (0.768, 0.768, 0.000)
Dy (0.000, 0.000, 0.500)
Dy (0.500, 0.500, 0.000)
Sc (0.000, 0.000, 0.167)
Sc (0.000, 0.000, 0.833)
Sc (0.500, 0.500, 0.333)
Sc (0.500, 0.500, 0.667)

Properties
Magnetization = 0.000 μB/f.u.
Total energy = -80.46 eV/cell
Calculated formation energy = 57.4 kJ/mol of atoms
Crystal system = tetragonal



Record 19
VASP calculation (GGA-PBE) on Sm4Dy4Sc after structural relaxation.

Lattice parameters (Å, degrees): 12.274 12.274 12.274 155.13 155.13 35.45
Positions (direct):
Sm (0.121, 0.627, 0.000)
Sm (0.373, 0.373, 0.494)
Sm (0.627, 0.121, 0.000)
Sm (0.879, 0.879, 0.506)
Dy (0.000, 0.500, 0.500)
Dy (0.252, 0.252, 0.000)
Dy (0.500, 0.000, 0.500)
Dy (0.748, 0.748, 0.000)
Sc (0.000, 0.000, 0.000)

Properties
Magnetization = 1.404 μB/f.u.
Total energy = -37.58 eV/cell
Calculated formation energy = 64.7 kJ/mol of atoms
Crystal system = tetragonal